# 1
A plane-wave DFT calculation with PBE was carried out for crystalline YHo2Nb at its relaxed geometry.

Geometry as POSCAR:
```
YHo2Nb
1.0
1.649 0.952 11.555
-1.649 0.952 11.555
0.000 -1.904 11.555
Y Ho Nb
1 2 1
Direct
0.000 0.000 0.000
0.417 0.417 0.417
0.583 0.583 0.583
0.500 0.500 0.500
```

Summary:
D(E_F) = 1.4159 states/eV per atom
E_form = 2.15 eV/f.u.

# 2
A plane-wave DFT calculation with PBE was carried out for crystalline Ho2NbZn at its relaxed geometry.

Geometry as POSCAR:
```
Ho2NbZn
1.0
3.312 0.000 0.000
0.000 3.312 0.000
0.000 0.000 8.366
Ho Nb Zn
2 1 1
Direct
0.000 0.000 0.240
0.000 0.000 0.760
0.500 0.500 0.500
0.500 0.500 0.000
```

Summary:
D(E_F) = 1.0872 states/eV per atom
E_form = 0.08 eV/f.u.
energy above the most stable polymorph in this dataset = 0.0 meV/atom

# 3
A plane-wave DFT calculation with PBE was carried out for crystalline HoNbZn at its relaxed geometry.

Geometry as POSCAR:
```
HoNbZn
1.0
2.184 -2.194 0.000
2.184 2.194 0.000
0.000 0.000 12.758
Ho Nb Zn
2 2 2
Direct
0.000 0.000 0.174
0.000 0.000 0.826
0.500 0.500 0.359
0.500 0.500 0.641
0.000 0.000 0.500
0.500 0.500 0.000
```

Summary:
D(E_F) = 0.8439 states/eV per atom
E_form = 0.16 eV/f.u.

| no. | total moment (μB/atom) |
| --- | --- |
| 1 | 0.01 |
| 2 | 0.00 |
| 3 | 0.00 |